[1]
# NbTl3F6

NbTl3F6 after structural relaxation (PBE-GGA, OQMD via LeMat-Bulk).

Cell lengths 6.384, 6.384, 6.384 Å; angles 60.00, 60.00, 60.00 degrees
Fractional positions:
Nb1 0.000 0.000 0.000
Tl1 0.250 0.250 0.250
Tl2 0.500 0.500 0.500
Tl3 0.750 0.750 0.750
F1 0.225 0.225 0.775
F2 0.225 0.775 0.225
F3 0.225 0.775 0.775
F4 0.775 0.225 0.225
F5 0.775 0.225 0.775
F6 0.775 0.775 0.225

## Properties
E_tot   -0.3582 Ry per atom
Crystal system   cubic

=====

[2]
# TmAlPt

TmAlPt after structural relaxation (PBE-GGA, OQMD via LeMat-Bulk).

Cell lengths 4.469, 4.469, 6.734 Å; angles 90.00, 90.00, 120.00 degrees
Fractional positions:
Tm1 0.000 0.000 0.000
Tm2 0.000 0.000 0.500
Al1 0.333 0.667 0.250
Al2 0.667 0.333 0.750
Pt1 0.333 0.667 0.750
Pt2 0.667 0.333 0.250

## Properties
E_tot   -0.4291 Ry per atom
Crystal system   hexagonal

=====

[3]
# Lu10Al3Os

Lu10Al3Os after structural relaxation (PBE-GGA, OQMD via LeMat-Bulk).

Cell lengths 9.298, 9.298, 9.464 Å; angles 90.00, 90.00, 120.00 degrees
Fractional positions:
Lu1 0.000 0.000 0.000
Lu2 0.000 0.000 0.500
Lu3 0.077 0.538 0.250
Lu4 0.207 0.415 0.558
Lu5 0.207 0.415 0.942
Lu6 0.207 0.793 0.558
Lu7 0.207 0.793 0.942
Lu8 0.415 0.207 0.058
Lu9 0.415 0.207 0.442
Lu10 0.462 0.538 0.250
Lu11 0.462 0.923 0.250
Lu12 0.538 0.077 0.750
Lu13 0.538 0.462 0.750
Lu14 0.585 0.793 0.558
Lu15 0.585 0.793 0.942
Lu16 0.793 0.207 0.058
Lu17 0.793 0.207 0.442
Lu18 0.793 0.585 0.058
Lu19 0.793 0.585 0.442
Lu20 0.923 0.462 0.750
Al1 0.111 0.222 0.250
Al2 0.111 0.889 0.250
Al3 0.222 0.111 0.750
Al4 0.778 0.889 0.250
Al5 0.889 0.111 0.750
Al6 0.889 0.778 0.750
Os1 0.333 0.667 0.750
Os2 0.667 0.333 0.250

## Properties
E_tot   -0.3783 Ry per atom
Crystal system   hexagonal

=====

[4]
# BaCdB2

BaCdB2 after structural relaxation (PBE-GGA, OQMD via LeMat-Bulk).

Cell lengths 6.962, 6.962, 6.962 Å; angles 90.00, 90.00, 90.00 degrees
Fractional positions:
Ba1 0.000 0.000 0.000
Ba2 0.000 0.500 0.500
Ba3 0.500 0.000 0.500
Ba4 0.500 0.500 0.000
Cd1 0.250 0.250 0.250
Cd2 0.250 0.750 0.750
Cd3 0.750 0.250 0.750
Cd4 0.750 0.750 0.250
B1 0.000 0.000 0.500
B2 0.000 0.500 0.000
B3 0.250 0.250 0.750
B4 0.250 0.750 0.250
B5 0.500 0.000 0.000
B6 0.500 0.500 0.500
B7 0.750 0.250 0.250
B8 0.750 0.750 0.750

## Properties
E_tot   -0.1850 Ry per atom
Crystal system   cubic

=====

[5]
# BePdW

BePdW after structural relaxation (PBE-GGA, OQMD via LeMat-Bulk).

Cell lengths 5.724, 5.724, 5.724 Å; angles 90.00, 90.00, 90.00 degrees
Fractional positions:
Be1 0.000 0.000 0.000
Be2 0.000 0.500 0.500
Be3 0.500 0.000 0.500
Be4 0.500 0.500 0.000
Pd1 0.250 0.250 0.250
Pd2 0.250 0.750 0.750
Pd3 0.750 0.250 0.750
Pd4 0.750 0.750 0.250
W1 0.000 0.000 0.500
W2 0.000 0.500 0.000
W3 0.500 0.000 0.000
W4 0.500 0.500 0.500

## Properties
E_tot   -0.4995 Ry per atom
Crystal system   cubic

=====

[6]
# LuOs2O4

LuOs2O4 after structural relaxation (PBE-GGA, OQMD via LeMat-Bulk).

Cell lengths 6.286, 6.286, 6.286 Å; angles 60.00, 60.00, 60.00 degrees
Fractional positions:
Lu1 0.125 0.125 0.125
Lu2 0.875 0.875 0.875
Os1 0.000 0.500 0.500
Os2 0.500 0.000 0.500
Os3 0.500 0.500 0.000
Os4 0.500 0.500 0.500
O1 0.262 0.262 0.262
O2 0.262 0.262 0.713
O3 0.262 0.713 0.262
O4 0.287 0.738 0.738
O5 0.713 0.262 0.262
O6 0.738 0.287 0.738
O7 0.738 0.738 0.287
O8 0.738 0.738 0.738

## Properties
E_tot   -0.5648 Ry per atom
Crystal system   cubic

=====

[7]
# ZrCoP

ZrCoP after structural relaxation (PBE-GGA, OQMD via LeMat-Bulk).

Cell lengths 6.333, 3.693, 7.167 Å; angles 90.00, 90.00, 90.00 degrees
Fractional positions:
Zr1 0.019 0.250 0.183
Zr2 0.481 0.750 0.683
Zr3 0.519 0.250 0.317
Zr4 0.981 0.750 0.817
Co1 0.138 0.250 0.560
Co2 0.362 0.750 0.060
Co3 0.638 0.250 0.940
Co4 0.862 0.750 0.440
P1 0.224 0.750 0.387
P2 0.276 0.250 0.887
P3 0.724 0.750 0.113
P4 0.776 0.250 0.613

## Properties
E_tot   -0.6007 Ry per atom
Crystal system   orthorhombic

=====

[8]
# SmHo2Cu4Ge4

SmHo2Cu4Ge4 after structural relaxation (PBE-GGA, OQMD via LeMat-Bulk).

Cell lengths 8.022, 8.022, 8.022 Å; angles 149.70, 130.60, 59.06 degrees
Fractional positions:
Sm1 0.000 0.000 0.000
Ho1 0.370 0.870 0.500
Ho2 0.630 0.130 0.500
Cu1 0.021 0.331 0.690
Cu2 0.360 0.669 0.690
Cu3 0.640 0.331 0.310
Cu4 0.979 0.669 0.310
Ge1 0.218 0.218 0.000
Ge2 0.311 0.500 0.811
Ge3 0.689 0.500 0.189
Ge4 0.782 0.782 0.000

## Properties
E_tot   -0.3620 Ry per atom
Crystal system   orthorhombic